1.
# AgMoPt2

Crystalline AgMoPt2 at its relaxed geometry (PBE, Alexandria via LeMat-Bulk).

abc: 4.858 4.858 2.776
angles: 90.00 90.00 90.00
Positions (direct):
Ag: 0.000 0.000 0.000
Mo: 0.500 0.500 0.000
Pt: 0.000 0.500 0.500
Pt: 0.500 0.000 0.500

Output
For the energy above the most stable polymorph in this dataset, the calculation gives 0.336 eV/atom. As for the density of states at the Fermi level: 1.312 states/eV per atom. As for the volume: 65.5 Å³/cell. For the energy of formation from the pure elements, the calculation gives 0.111 eV/atom.


2.
# Ag2MoPt

Crystalline Ag2MoPt at its relaxed geometry (PBE, Alexandria via LeMat-Bulk).

abc: 2.811 2.811 8.426
angles: 90.00 90.00 90.00
Positions (direct):
Ag: 0.000 0.000 0.000
Ag: 0.500 0.500 0.261
Mo: 0.000 0.000 0.521
Pt: 0.500 0.500 0.740

Output
For the energy above the most stable polymorph in this dataset, the calculation gives 0.000 eV/atom. As for the density of states at the Fermi level: 0.567 states/eV per atom. As for the volume: 66.6 Å³/cell. For the energy of formation from the pure elements, the calculation gives 0.054 eV/atom.


3.
# Ag2MoPt

Crystalline Ag2MoPt at its relaxed geometry (PBE, Alexandria via LeMat-Bulk).

abc: 2.784 3.978 6.091
angles: 90.00 90.00 90.00
Positions (direct):
Ag: 0.000 0.000 0.000
Ag: 0.500 0.500 0.245
Mo: 0.000 0.000 0.526
Pt: 0.500 0.500 0.715

Output
For the energy above the most stable polymorph in this dataset, the calculation gives 0.094 eV/atom. As for the density of states at the Fermi level: 0.727 states/eV per atom. As for the volume: 67.4 Å³/cell. For the energy of formation from the pure elements, the calculation gives 0.147 eV/atom.


4.
# Ag2MoPt

Crystalline Ag2MoPt at its relaxed geometry (PBE, Alexandria via LeMat-Bulk).

abc: 5.940 5.940 5.940
angles: 101.31 101.31 127.42
Positions (direct):
Ag: 0.120 0.625 0.995
Ag: 0.375 0.370 0.495
Ag: 0.630 0.125 0.005
Ag: 0.875 0.880 0.505
Mo: 0.250 0.750 0.500
Mo: 0.500 0.500 0.000
Pt: 0.000 0.000 0.000
Pt: 0.750 0.250 0.500

Output
For the energy above the most stable polymorph in this dataset, the calculation gives 0.828 eV/atom. As for the density of states at the Fermi level: 1.100 states/eV per atom. As for the volume: 149.3 Å³/cell. For the energy of formation from the pure elements, the calculation gives 0.881 eV/atom.